Below is a PBEsol-optimized structure of Ba4Ti3PtO12, with properties calculated at the meta-GGA SCAN level.

Calculated values
Its energy relative to the elements, uncorrected is -2.99 eV/atom. The space group is P3m1 (156).

Lattice parameters (Å, degrees): 5.708 5.708 28.084 90.00 90.00 120.00
Fractional positions:
O  0.695  0.847  0.125
O  0.998  0.499  0.292
O  0.633  0.817  0.376
O  0.334  0.167  0.041
O  0.501  0.499  0.962
O  0.694  0.847  0.623
O  0.153  0.847  0.125
O  0.830  0.170  0.212
O  0.830  0.661  0.212
O  0.183  0.367  0.376
O  0.502  0.003  0.460
O  0.183  0.817  0.376
O  0.998  0.499  0.962
O  0.833  0.666  0.539
O  0.339  0.170  0.212
O  0.501  0.002  0.292
O  0.503  0.005  0.790
O  0.833  0.167  0.539
O  0.641  0.821  0.878
O  0.833  0.167  0.041
O  0.503  0.497  0.790
O  0.153  0.847  0.623
O  0.997  0.498  0.460
O  0.830  0.659  0.710
O  0.153  0.306  0.623
O  0.833  0.666  0.041
O  0.501  0.499  0.292
O  0.341  0.170  0.710
O  0.502  0.498  0.460
O  0.153  0.305  0.125
O  0.995  0.497  0.790
O  0.501  0.002  0.962
O  0.179  0.821  0.878
O  0.334  0.167  0.539
O  0.179  0.359  0.878
O  0.830  0.170  0.710
Ba  0.000  0.000  0.298
Ba  0.333  0.667  0.704
Ba  0.667  0.333  0.126
Ba  0.333  0.667  0.204
Ba  0.333  0.667  0.048
Ba  0.333  0.667  0.546
Ba  0.667  0.333  0.374
Ba  0.000  0.000  0.450
Ba  0.667  0.333  0.625
Ba  0.667  0.333  0.871
Ba  0.000  0.000  0.952
Ba  0.000  0.000  0.793
Ti  0.667  0.333  0.748
Ti  0.667  0.333  0.999
Ti  0.333  0.667  0.421
Ti  0.667  0.333  0.498
Ti  0.000  0.000  0.075
Ti  0.333  0.667  0.924
Ti  0.667  0.333  0.249
Ti  0.000  0.000  0.574
Ti  0.333  0.667  0.326
Pt  0.000  0.000  0.670
Pt  0.333  0.667  0.831
Pt  0.000  0.000  0.171



Below is a PBEsol-optimized structure of ZrBiBr2, with properties calculated at the meta-GGA SCAN level.

Calculated values
The offset from the most stable computed form comes out at 266 meV per atom. Its energy relative to the elements, uncorrected is -0.22 eV/atom. The space group is R-3m (166). As for the density of states at the Fermi level: 3.82 states/eV/cell.

Lattice parameters (Å, degrees): 3.461 3.461 10.429 80.45 80.45 60.00
Fractional positions:
Br  0.917  0.917  0.250
Br  0.083  0.083  0.750
Bi  0.500  0.500  0.500
Zr  0.000  0.000  0.000



Below is a PBEsol-optimized structure of LaY2Tl, with properties calculated at the meta-GGA SCAN level.

Calculated values
Its formation energy is -260 meV/atom. The offset from the most stable computed form comes out at 65 meV per atom. The space group is P4mm (99). As for the density of states at the Fermi level: 4.68 states/eV/cell.

Lattice parameters (Å, degrees): 3.564 3.564 9.468 90.00 90.00 90.00
Last column: magnetic moment on the atom in μB.
Fractional positions:
Tl  0.500  0.500  0.763  0.00
La  0.000  0.000  0.522  -0.14
Y  0.000  0.000  0.978  0.29
Y  0.500  0.500  0.237  0.05